No. 1
LiMn2F6: single point on PBEsol structure, meta-GGA SCAN.

* E_form (uncorrected): -2.864 eV per atom
* density: 3.623 g/cm³
* offset from the most stable computed form: 0 meV/atom

abc: 5.180 5.180 4.374
angles: 90.54 90.54 115.63
Fractional positions:
Li: 0.000 0.000 0.000
Mn: 0.325 0.675 0.500
Mn: 0.675 0.325 0.500
F: 0.014 0.673 0.742
F: 0.327 0.986 0.258
F: 0.365 0.365 0.724
F: 0.635 0.635 0.276
F: 0.673 0.014 0.742
F: 0.986 0.327 0.258

No. 2
Hf2ZrCu2: single point on PBEsol structure, meta-GGA SCAN.

* density: 10.908 g/cm³
* total energy: -37.41 eV per atom

abc: 7.486 7.486 3.126
angles: 90.00 90.00 90.00
Fractional positions:
Hf: 0.172 0.328 0.000
Hf: 0.328 0.828 0.000
Hf: 0.672 0.172 0.000
Hf: 0.828 0.672 0.000
Zr: 0.000 0.000 0.500
Zr: 0.500 0.500 0.500
Cu: 0.121 0.621 0.500
Cu: 0.379 0.121 0.500
Cu: 0.621 0.879 0.500
Cu: 0.879 0.379 0.500

No. 3
AsS2ClF: single point on PBEsol structure, meta-GGA SCAN.

* E_form (uncorrected): 0.712 eV per atom
* density: 3.676 g/cm³

abc: 4.081 4.081 5.248
angles: 90.00 90.00 90.00
Fractional positions:
As: 0.000 0.000 0.000
S: 0.000 0.500 0.500
S: 0.500 0.000 0.500
Cl: 0.500 0.500 0.000
F: 0.500 0.500 0.500

Which of these has the highest density?
Hf2ZrCu2